## Mg2CuSe (GGA-PBE)

Data for an optimized crystal structure of Mg2CuSe.

Properties
The formation energy without anion corrections comes out at -0.056 eV/atom. As for the crystal system: orthorhombic.

The structure in CIF format:
```
data_Mg2CuSe
_chemical_formula_sum 'Mg8 Cu4 Se4'
_space_group_name_H-M_alt 'C m c m'
_space_group_IT_number 63
_space_group_name_Hall '-C 2c 2'
_cell_length_a 3.591
_cell_length_b 22.962
_cell_length_c 3.974
_cell_angle_alpha 90.00
_cell_angle_beta 90.00
_cell_angle_gamma 90.00
loop_
_atom_site_label
_atom_site_fract_x
_atom_site_fract_y
_atom_site_fract_z
_atom_site_occupancy
Mg1 0.000 0.054 0.250 1
Mg2 0.000 0.232 0.750 1
Cu1 0.000 0.167 0.250 1
Se1 0.000 0.375 0.250 1
```

## Li2YZr (GGA-PBE)

Data for an optimized crystal structure of Li2YZr.

Properties
As for the offset from the most stable computed form: 3.51 kcal/mol of atoms. As for the crystal system: orthorhombic.

The structure in CIF format:
```
data_Li2YZr
_chemical_formula_sum 'Li4 Y2 Zr2'
_space_group_name_H-M_alt 'I m m m'
_space_group_IT_number 71
_space_group_name_Hall '-I 2 2'
_cell_length_a 3.405
_cell_length_b 5.204
_cell_length_c 10.656
_cell_angle_alpha 90.00
_cell_angle_beta 90.00
_cell_angle_gamma 90.00
loop_
_atom_site_label
_atom_site_fract_x
_atom_site_fract_y
_atom_site_fract_z
_atom_site_occupancy
Li1 0.000 0.000 0.243 1
Y1 0.000 0.500 0.000 1
Zr1 0.000 0.500 0.500 1
```

## Tb2Y4Ho2Th (GGA-PBE)

Data for an optimized crystal structure of Tb2Y4Ho2Th.

Properties
The uncorrected energy is -5.74 eV/atom. As for the crystal system: monoclinic.

The structure in CIF format:
```
data_Tb2Y4Ho2Th
_chemical_formula_sum 'Tb4 Y8 Ho4 Th2'
_space_group_name_H-M_alt 'C 1 2/m 1'
_space_group_IT_number 12
_space_group_name_Hall '-C 2y'
_cell_length_a 18.638
_cell_length_b 3.596
_cell_length_c 9.542
_cell_angle_alpha 90.00
_cell_angle_beta 115.66
_cell_angle_gamma 90.00
loop_
_atom_site_label
_atom_site_fract_x
_atom_site_fract_y
_atom_site_fract_z
_atom_site_occupancy
Tb1 0.148 0.000 0.167 1
Y1 0.018 0.500 0.830 1
Y2 0.185 0.000 0.833 1
Ho1 0.165 0.500 0.502 1
Th1 0.000 0.000 0.500 1
```

## Tb2YTe (GGA-PBE)

Data for an optimized crystal structure of Tb2YTe.

Properties
As for the offset from the most stable computed form: 10.24 kcal/mol of atoms. The formation energy without anion corrections comes out at -0.225 eV/atom. As for the crystal system: trigonal.

The structure in CIF format:
```
data_Tb2YTe
_chemical_formula_sum 'Tb6 Y3 Te3'
_space_group_name_H-M_alt 'R -3 m'
_space_group_IT_number 166
_space_group_name_Hall '-R 3 2"'
_cell_length_a 3.8326
_cell_length_b 3.8326
_cell_length_c 32.1795
_cell_angle_alpha 90.00
_cell_angle_beta 90.00
_cell_angle_gamma 120.00
loop_
_atom_site_label
_atom_site_fract_x
_atom_site_fract_y
_atom_site_fract_z
_atom_site_occupancy
Tb1 0.0000 0.0000 0.1024 1
Y1 0.0000 0.0000 0.0000 1
Te1 0.0000 0.0000 0.5000 1
```

## TiAl2Tc (GGA-PBE)

Data for an optimized crystal structure of TiAl2Tc.

Properties
As for the offset from the most stable computed form: 0.00 kcal/mol of atoms. As for the crystal system: tetragonal.

The structure in CIF format:
```
data_TiAl2Tc
_chemical_formula_sum 'Ti1 Al2 Tc1'
_space_group_name_H-M_alt 'P 4/m m m'
_space_group_IT_number 123
_space_group_name_Hall '-P 4 2'
_cell_length_a 3.818
_cell_length_b 3.818
_cell_length_c 4.134
_cell_angle_alpha 90.00
_cell_angle_beta 90.00
_cell_angle_gamma 90.00
loop_
_atom_site_label
_atom_site_fract_x
_atom_site_fract_y
_atom_site_fract_z
_atom_site_occupancy
Ti1 0.000 0.000 0.000 1
Al1 0.000 0.500 0.500 1
Tc1 0.500 0.500 0.000 1
```

## CeGdGaRh (GGA-PBE)

Data for an optimized crystal structure of CeGdGaRh.

Properties
The uncorrected energy is -8.16 eV/atom. As for the crystal system: cubic.

The structure in CIF format:
```
data_CeGdGaRh
_chemical_formula_sum 'Ce4 Gd4 Ga4 Rh4'
_space_group_name_H-M_alt 'F -4 3 m'
_space_group_IT_number 216
_space_group_name_Hall 'F -4 2 3'
_cell_length_a 7.110
_cell_length_b 7.110
_cell_length_c 7.110
_cell_angle_alpha 90.00
_cell_angle_beta 90.00
_cell_angle_gamma 90.00
loop_
_atom_site_label
_atom_site_fract_x
_atom_site_fract_y
_atom_site_fract_z
_atom_site_occupancy
Ce1 0.000 0.000 0.000 1
Gd1 0.000 0.000 0.500 1
Ga1 0.250 0.250 0.750 1
Rh1 0.250 0.250 0.250 1
```

## DyScZnRh (GGA-PBE)

Data for an optimized crystal structure of DyScZnRh.

Properties
The uncorrected energy is -5.50 eV/atom. As for the crystal system: cubic.

The structure in CIF format:
```
data_DyScZnRh
_chemical_formula_sum 'Dy4 Sc4 Zn4 Rh4'
_space_group_name_H-M_alt 'F -4 3 m'
_space_group_IT_number 216
_space_group_name_Hall 'F -4 2 3'
_cell_length_a 6.783
_cell_length_b 6.783
_cell_length_c 6.783
_cell_angle_alpha 90.00
_cell_angle_beta 90.00
_cell_angle_gamma 90.00
loop_
_atom_site_label
_atom_site_fract_x
_atom_site_fract_y
_atom_site_fract_z
_atom_site_occupancy
Dy1 0.000 0.000 0.000 1
Sc1 0.000 0.000 0.500 1
Zn1 0.250 0.250 0.250 1
Rh1 0.250 0.250 0.750 1
```

## KYAs2 (GGA-PBE)

Data for an optimized crystal structure of KYAs2.

Properties
As for the offset from the most stable computed form: 4.35 kcal/mol of atoms. As for the crystal system: orthorhombic.

The structure in CIF format:
```
data_KYAs2
_chemical_formula_sum 'K2 Y2 As4'
_space_group_name_H-M_alt 'I m m 2'
_space_group_IT_number 44
_space_group_name_Hall 'I 2 -2'
_cell_length_a 3.943
_cell_length_b 4.237
_cell_length_c 14.833
_cell_angle_alpha 90.00
_cell_angle_beta 90.00
_cell_angle_gamma 90.00
loop_
_atom_site_label
_atom_site_fract_x
_atom_site_fract_y
_atom_site_fract_z
_atom_site_occupancy
K1 0.000 0.000 0.000 1
Y1 0.000 0.500 0.249 1
As1 0.000 0.000 0.375 1
As2 0.000 0.500 0.715 1
```

## BHOs2 (GGA-PBE)

Data for an optimized crystal structure of BHOs2.

Properties
As for the offset from the most stable computed form: 0.00 kcal/mol of atoms. As for the crystal system: tetragonal.

The structure in CIF format:
```
data_BHOs2
_chemical_formula_sum 'B4 H4 Os8'
_space_group_name_H-M_alt 'I -4 2 d'
_space_group_IT_number 122
_space_group_name_Hall 'I -4 2bw'
_cell_length_a 5.288
_cell_length_b 5.288
_cell_length_c 5.614
_cell_angle_alpha 90.00
_cell_angle_beta 90.00
_cell_angle_gamma 90.00
loop_
_atom_site_label
_atom_site_fract_x
_atom_site_fract_y
_atom_site_fract_z
_atom_site_occupancy
B1 0.000 0.000 0.000 1
H1 0.000 0.000 0.500 1
Os1 0.225 0.250 0.625 1
```

## EuBi2Sb (GGA-PBE)

Data for an optimized crystal structure of EuBi2Sb.

Properties
As for the offset from the most stable computed form: 0.00 kcal/mol of atoms. The formation energy without anion corrections comes out at -0.468 eV/atom. As for the crystal system: tetragonal.

The structure in CIF format:
```
data_EuBi2Sb
_chemical_formula_sum 'Eu1 Bi2 Sb1'
_space_group_name_H-M_alt 'P 4/m m m'
_space_group_IT_number 123
_space_group_name_Hall '-P 4 2'
_cell_length_a 4.863
_cell_length_b 4.863
_cell_length_c 5.159
_cell_angle_alpha 90.00
_cell_angle_beta 90.00
_cell_angle_gamma 90.00
loop_
_atom_site_label
_atom_site_fract_x
_atom_site_fract_y
_atom_site_fract_z
_atom_site_occupancy
Eu1 0.000 0.000 0.000 1
Bi1 0.000 0.500 0.500 1
Sb1 0.500 0.500 0.000 1
```

## Be2BiS (GGA-PBE)

Data for an optimized crystal structure of Be2BiS.

Properties
As for the offset from the most stable computed form: 0.00 kcal/mol of atoms. The formation energy without anion corrections comes out at -0.135 eV/atom. As for the crystal system: tetragonal.

The structure in CIF format:
```
data_Be2BiS
_chemical_formula_sum 'Be8 Bi4 S4'
_space_group_name_H-M_alt 'I -4 2 d'
_space_group_IT_number 122
_space_group_name_Hall 'I -4 2bw'
_cell_length_a 5.454
_cell_length_b 5.454
_cell_length_c 10.303
_cell_angle_alpha 90.00
_cell_angle_beta 90.00
_cell_angle_gamma 90.00
loop_
_atom_site_label
_atom_site_fract_x
_atom_site_fract_y
_atom_site_fract_z
_atom_site_occupancy
Be1 0.180 0.250 0.125 1
Bi1 0.000 0.000 0.500 1
S1 0.000 0.000 0.000 1
```

## ScSbPb (GGA-PBE)

Data for an optimized crystal structure of ScSbPb.

Properties
As for the offset from the most stable computed form: 2.83 kcal/mol of atoms. The formation energy without anion corrections comes out at -0.250 eV/atom. As for the crystal system: tetragonal.

The structure in CIF format:
```
data_ScSbPb
_chemical_formula_sum 'Sc2 Sb2 Pb2'
_space_group_name_H-M_alt 'I 4 m m'
_space_group_IT_number 107
_space_group_name_Hall 'I 4 -2'
_cell_length_a 3.250
_cell_length_b 3.250
_cell_length_c 16.059
_cell_angle_alpha 90.00
_cell_angle_beta 90.00
_cell_angle_gamma 90.00
loop_
_atom_site_label
_atom_site_fract_x
_atom_site_fract_y
_atom_site_fract_z
_atom_site_occupancy
Sc1 0.000 0.000 0.000 1
Sb1 0.000 0.000 0.632 1
Pb1 0.000 0.000 0.353 1
```

## K2AgIN (GGA-PBE)

Data for an optimized crystal structure of K2AgIN.

Properties
The formation energy without anion corrections comes out at -0.091 eV/atom. As for the crystal system: tetragonal.

The structure in CIF format:
```
data_K2AgIN
_chemical_formula_sum 'K2 Ag1 I1 N1'
_space_group_name_H-M_alt 'P 4/m m m'
_space_group_IT_number 123
_space_group_name_Hall '-P 4 2'
_cell_length_a 6.400
_cell_length_b 6.400
_cell_length_c 3.965
_cell_angle_alpha 90.00
_cell_angle_beta 90.00
_cell_angle_gamma 90.00
loop_
_atom_site_label
_atom_site_fract_x
_atom_site_fract_y
_atom_site_fract_z
_atom_site_occupancy
K1 0.000 0.500 0.000 1
Ag1 0.000 0.000 0.000 1
I1 0.500 0.500 0.500 1
N1 0.000 0.000 0.500 1
```

## Dy6Zn5Ge (GGA-PBE)

Data for an optimized crystal structure of Dy6Zn5Ge.

Properties
The uncorrected energy is -3.63 eV/atom. As for the crystal system: orthorhombic.

The structure in CIF format:
```
data_Dy6Zn5Ge
_chemical_formula_sum 'Dy12 Zn10 Ge2'
_space_group_name_H-M_alt 'C m m m'
_space_group_IT_number 65
_space_group_name_Hall '-C 2 2'
_cell_length_a 5.033
_cell_length_b 15.193
_cell_length_c 7.102
_cell_angle_alpha 90.00
_cell_angle_beta 90.00
_cell_angle_gamma 90.00
loop_
_atom_site_label
_atom_site_fract_x
_atom_site_fract_y
_atom_site_fract_z
_atom_site_occupancy
Dy1 0.000 0.000 0.246 1
Dy2 0.000 0.335 0.251 1
Zn1 0.000 0.167 0.500 1
Zn2 0.000 0.177 0.000 1
Zn3 0.000 0.500 0.500 1
Ge1 0.000 0.500 0.000 1
```

## LaGdTlRu (GGA-PBE)

Data for an optimized crystal structure of LaGdTlRu.

Properties
The uncorrected energy is -7.84 eV/atom. As for the crystal system: cubic.

The structure in CIF format:
```
data_LaGdTlRu
_chemical_formula_sum 'La4 Gd4 Tl4 Ru4'
_space_group_name_H-M_alt 'F -4 3 m'
_space_group_IT_number 216
_space_group_name_Hall 'F -4 2 3'
_cell_length_a 7.411
_cell_length_b 7.411
_cell_length_c 7.411
_cell_angle_alpha 90.00
_cell_angle_beta 90.00
_cell_angle_gamma 90.00
loop_
_atom_site_label
_atom_site_fract_x
_atom_site_fract_y
_atom_site_fract_z
_atom_site_occupancy
La1 0.000 0.000 0.000 1
Gd1 0.000 0.000 0.500 1
Tl1 0.250 0.250 0.250 1
Ru1 0.250 0.250 0.750 1
```

## SrVIN2 (GGA-PBE)

Data for an optimized crystal structure of SrVIN2.

Properties
As for the offset from the most stable computed form: 35.87 kcal/mol of atoms. The formation energy without anion corrections comes out at 1.602 eV/atom. As for the crystal system: tetragonal.

The structure in CIF format:
```
data_SrVIN2
_chemical_formula_sum 'Sr1 V1 I1 N2'
_space_group_name_H-M_alt 'P 4/m m m'
_space_group_IT_number 123
_space_group_name_Hall '-P 4 2'
_cell_length_a 4.754
_cell_length_b 4.754
_cell_length_c 6.641
_cell_angle_alpha 90.00
_cell_angle_beta 90.00
_cell_angle_gamma 90.00
loop_
_atom_site_label
_atom_site_fract_x
_atom_site_fract_y
_atom_site_fract_z
_atom_site_occupancy
Sr1 0.000 0.000 0.000 1
V1 0.500 0.500 0.500 1
I1 0.000 0.000 0.500 1
N1 0.000 0.500 0.000 1
```

## CsCdPbAu3 (GGA-PBE)

Data for an optimized crystal structure of CsCdPbAu3.

Properties
The uncorrected energy is -2.71 eV/atom. As for the crystal system: monoclinic.

The structure in CIF format:
```
data_CsCdPbAu3
_chemical_formula_sum 'Cs2 Cd2 Pb2 Au6'
_space_group_name_H-M_alt 'P 1 21/m 1'
_space_group_IT_number 11
_space_group_name_Hall '-P 2yb'
_cell_length_a 7.087
_cell_length_b 7.352
_cell_length_c 7.995
_cell_angle_alpha 90.00
_cell_angle_beta 108.55
_cell_angle_gamma 90.00
loop_
_atom_site_label
_atom_site_fract_x
_atom_site_fract_y
_atom_site_fract_z
_atom_site_occupancy
Cs1 0.229 0.250 0.489 1
Cd1 0.160 0.750 0.206 1
Pb1 0.421 0.750 0.932 1
Au1 0.194 0.060 0.004 1
Au2 0.290 0.750 0.563 1
```

## ReSbAs2 (GGA-PBE)

Data for an optimized crystal structure of ReSbAs2.

Properties
The formation energy without anion corrections comes out at 0.458 eV/atom. As for the crystal system: orthorhombic.

The structure in CIF format:
```
data_ReSbAs2
_chemical_formula_sum 'Re2 Sb2 As4'
_space_group_name_H-M_alt 'C m m m'
_space_group_IT_number 65
_space_group_name_Hall '-C 2 2'
_cell_length_a 3.120
_cell_length_b 5.134
_cell_length_c 10.387
_cell_angle_alpha 90.00
_cell_angle_beta 90.00
_cell_angle_gamma 90.00
loop_
_atom_site_label
_atom_site_fract_x
_atom_site_fract_y
_atom_site_fract_z
_atom_site_occupancy
Re1 0.000 0.000 0.000 1
Sb1 0.000 0.000 0.500 1
As1 0.000 0.500 0.194 1
```

## CaWSeN2 (GGA-PBE)

Data for an optimized crystal structure of CaWSeN2.

Properties
As for the offset from the most stable computed form: 61.65 kcal/mol of atoms. The formation energy without anion corrections comes out at 2.203 eV/atom. As for the crystal system: tetragonal.

The structure in CIF format:
```
data_CaWSeN2
_chemical_formula_sum 'Ca1 W1 Se1 N2'
_space_group_name_H-M_alt 'P 4/m m m'
_space_group_IT_number 123
_space_group_name_Hall '-P 4 2'
_cell_length_a 4.083
_cell_length_b 4.083
_cell_length_c 5.294
_cell_angle_alpha 90.00
_cell_angle_beta 90.00
_cell_angle_gamma 90.00
loop_
_atom_site_label
_atom_site_fract_x
_atom_site_fract_y
_atom_site_fract_z
_atom_site_occupancy
Ca1 0.000 0.000 0.000 1
W1 0.500 0.500 0.500 1
Se1 0.000 0.000 0.500 1
N1 0.000 0.500 0.000 1
```

## RbBF4 (GGA-PBE)

Data for an optimized crystal structure of RbBF4.

Properties
The formation energy without anion corrections comes out at -3.011 eV/atom. As for the crystal system: monoclinic.

The structure in CIF format:
```
data_RbBF4
_chemical_formula_sum 'Rb4 B4 F16'
_space_group_name_H-M_alt 'C 1 2/c 1'
_space_group_IT_number 15
_space_group_name_Hall '-C 2yc'
_cell_length_a 8.783
_cell_length_b 5.382
_cell_length_c 9.482
_cell_angle_alpha 90.00
_cell_angle_beta 104.11
_cell_angle_gamma 90.00
loop_
_atom_site_label
_atom_site_fract_x
_atom_site_fract_y
_atom_site_fract_z
_atom_site_occupancy
Rb1 0.250 0.250 0.000 1
B1 0.000 0.192 0.250 1
F1 0.041 0.341 0.377 1
F2 0.129 0.038 0.241 1
```